A plane-wave DFT calculation with PBE-GGA was carried out for a relaxed structure of Hf6Zn5Tc.

```
data_Hf6Zn5Tc
_chemical_formula_sum 'Hf12 Zn10 Tc2'
_cell_length_a 4.6673
_cell_length_b 13.9590
_cell_length_c 6.6144
_cell_angle_alpha 90.00
_cell_angle_beta 90.00
_cell_angle_gamma 90.00
_symmetry_space_group_name_H-M 'C m m m'
_symmetry_Int_Tables_number 65
_symmetry_space_group_name_Hall '-C 2 2'
loop_
_atom_site_label
_atom_site_type_symbol
_atom_site_fract_x
_atom_site_fract_y
_atom_site_fract_z
Hf1 Hf 0.0000 0.0000 0.2473
Hf2 Hf 0.0000 0.3355 0.2467
Zn1 Zn 0.0000 0.1657 0.0000
Zn2 Zn 0.0000 0.1695 0.5000
Zn3 Zn 0.0000 0.5000 0.5000
Tc1 Tc 0.0000 0.5000 0.0000
```

Properties
Uncorrected energy = -6.645 eV per atom
Formation enthalpy at 0 K = -3.28 eV per formula unit